The following is a PBE calculation of an optimized crystal structure of ReAsPb2, from Alexandria via LeMat-Bulk.

a b c (Å): 5.011 3.411 5.670
angles (deg): 90.00 109.14 90.00
Positions (direct):
Re: 0.000 0.000 0.000
As: 0.736 0.500 0.698
Pb: 0.169 0.000 0.538
Pb: 0.539 0.500 0.139

Values from the calculation:
Space group: No. 6
DOS(E_F), states/eV per atom: 0.70



The following is a PBE calculation of an optimized crystal structure of Re2AsPb, from Alexandria via LeMat-Bulk.

a b c (Å): 3.149 4.391 5.210
angles (deg): 90.00 90.00 90.00
Positions (direct):
Re: 0.000 0.000 0.000
Re: 0.500 0.000 0.500
As: 0.000 0.500 0.500
Pb: 0.500 0.500 0.000

Values from the calculation:
Space group: No. 47
Energy relative to the lowest polymorph listed for this composition, meV per atom: 859
DOS(E_F), states/eV per atom: 1.24



The following is a PBE calculation of an optimized crystal structure of Re2AsPb, from Alexandria via LeMat-Bulk.

a b c (Å): 5.317 5.317 3.075
angles (deg): 105.28 105.28 110.74
Positions (direct):
Re: 0.000 0.500 0.000
Re: 0.500 0.000 0.000
As: 0.000 0.000 0.500
Pb: 0.500 0.500 0.500

Values from the calculation:
Space group: No. 12
Energy relative to the lowest polymorph listed for this composition, meV per atom: 875
DOS(E_F), states/eV per atom: 1.00



The following is a PBE calculation of an optimized crystal structure of ReAsPb2, from Alexandria via LeMat-Bulk.

a b c (Å): 3.285 3.285 8.495
angles (deg): 90.00 90.00 90.00
Positions (direct):
Re: 0.000 0.000 0.000
As: 0.500 0.500 0.126
Pb: 0.000 0.000 0.388
Pb: 0.500 0.500 0.748

Values from the calculation:
Space group: No. 99
DOS(E_F), states/eV per atom: 0.27



The following is a PBE calculation of an optimized crystal structure of ReAsPb2, from Alexandria via LeMat-Bulk.

a b c (Å): 5.179 5.179 3.340
angles (deg): 90.00 90.00 102.26
Positions (direct):
Re: 0.000 0.000 0.000
As: 0.500 0.500 0.000
Pb: 0.000 0.500 0.500
Pb: 0.500 0.000 0.500

Values from the calculation:
Space group: No. 65
DOS(E_F), states/eV per atom: 0.95



The following is a PBE calculation of an optimized crystal structure of Re2AsPb, from Alexandria via LeMat-Bulk.

a b c (Å): 3.075 3.075 8.679
angles (deg): 90.00 90.00 118.19
Positions (direct):
Re: 0.000 0.000 0.218
Re: 0.000 0.000 0.782
As: 0.500 0.500 0.000
Pb: 0.500 0.500 0.500

Values from the calculation:
Space group: No. 65
Energy relative to the lowest polymorph listed for this composition, meV per atom: 706
DOS(E_F), states/eV per atom: 0.77



The following is a PBE calculation of an optimized crystal structure of ReAsPb2, from Alexandria via LeMat-Bulk.

a b c (Å): 10.199 10.199 10.199
angles (deg): 18.16 18.16 18.16
Positions (direct):
Re: 0.000 0.000 0.000
As: 0.500 0.500 0.500
Pb: 0.258 0.258 0.258
Pb: 0.742 0.742 0.742

Values from the calculation:
Space group: No. 166
DOS(E_F), states/eV per atom: 0.65



The following is a PBE calculation of an optimized crystal structure of Re2AsPb, from Alexandria via LeMat-Bulk.

a b c (Å): 3.006 4.007 6.218
angles (deg): 90.00 95.21 90.00
Positions (direct):
Re: 0.235 0.000 0.312
Re: 0.765 0.000 0.688
As: 0.000 0.500 0.500
Pb: 0.500 0.500 0.000

Values from the calculation:
Space group: No. 10
Energy relative to the lowest polymorph listed for this composition, meV per atom: 579
DOS(E_F), states/eV per atom: 0.57



Number 1: energy of formation from the pure elements 490.9 meV/atom. Number 2: energy of formation from the pure elements 1138.0 meV/atom. Number 3: energy of formation from the pure elements 1154.5 meV/atom. Number 4: energy of formation from the pure elements 278.4 meV/atom. Number 5: energy of formation from the pure elements 956.0 meV/atom. Number 6: energy of formation from the pure elements 984.8 meV/atom. Number 7: energy of formation from the pure elements 820.1 meV/atom. Number 8: energy of formation from the pure elements 858.3 meV/atom.